Compound: CaLaFeBiO6
Source: the Alexandria database
Functional: PBE+U
Structure: relaxed

Cell lengths 5.829, 5.829, 8.210 Å; angles 90.00, 90.00, 90.00 degrees
Space group I-4 (No. 82)
One atom of each set of equivalent atoms:
Ca  0.000  0.000  0.000 [2 per cell]
La  0.000  0.500  0.250 [2 per cell]
Fe  0.000  0.500  0.750 [2 per cell]
Bi  0.000  0.000  0.500 [2 per cell]
O  0.000  0.500  0.524 [4 per cell]
O  0.142  0.805  0.745 [8 per cell]

Summary:
Raw total energy ... -6.45 eV per atom
Energy relative to the lowest polymorph listed for this composition ... 306 meV/atom
Crystal system ... tetragonal